CrReO2F: relaxed, PBE+U.

POSCAR file:
```
CrReO2F
1.0
3.827 0.000 0.000
0.000 3.827 0.000
0.000 0.000 3.803
Cr Re O F
1 1 2 1
direct
0.000 0.000 0.000
0.500 0.500 0.500
0.000 0.500 0.000
0.500 0.000 0.000
0.000 0.000 0.500
```

crystal system: tetragonal
total moment: 0.71 μB per formula unit
electronic total energy: -6.047 eV per atom